1.
# AcMnSbPd | Alexandria via LeMat-Bulk | PBE-GGA | relaxed
# - raw formation energy (kJ/mol of formula units) = -82.8
data_AcMnSbPd
_chemical_formula_sum 'Ac4 Mn4 Sb4 Pd4'
_space_group_name_H-M_alt 'F -4 3 m'
_space_group_IT_number 216
_space_group_name_Hall 'F -4 2 3'
_cell_length_a 7.177
_cell_length_b 7.177
_cell_length_c 7.177
_cell_angle_alpha 90.00
_cell_angle_beta 90.00
_cell_angle_gamma 90.00
loop_
_atom_site_label
_atom_site_fract_x
_atom_site_fract_y
_atom_site_fract_z
_atom_site_occupancy
Ac1 0.000 0.000 0.000 1
Mn1 0.250 0.250 0.750 1
Sb1 0.000 0.000 0.500 1
Pd1 0.250 0.250 0.250 1

***

2.
# Ac2MnSiPd6 | Alexandria via LeMat-Bulk | PBE-GGA | relaxed
# - raw formation energy (kJ/mol of formula units) = -432.4
data_Ac2MnSiPd6
_chemical_formula_sum 'Ac8 Mn4 Si4 Pd24'
_space_group_name_H-M_alt 'F m -3 m'
_space_group_IT_number 225
_space_group_name_Hall '-F 4 2 3'
_cell_length_a 9.560
_cell_length_b 9.560
_cell_length_c 9.560
_cell_angle_alpha 90.00
_cell_angle_beta 90.00
_cell_angle_gamma 90.00
loop_
_atom_site_label
_atom_site_fract_x
_atom_site_fract_y
_atom_site_fract_z
_atom_site_occupancy
Ac1 0.250 0.250 0.250 1
Mn1 0.000 0.000 0.000 1
Si1 0.000 0.000 0.500 1
Pd1 0.000 0.000 0.259 1

***

3.
# Ac2MnSn4Pd3 | Alexandria via LeMat-Bulk | PBE-GGA | relaxed
# - VASP energy (Ry/atom) = -0.4100
data_Ac2MnSn4Pd3
_chemical_formula_sum 'Ac2 Mn1 Sn4 Pd3'
_space_group_name_H-M_alt 'P -4 m 2'
_space_group_IT_number 115
_space_group_name_Hall 'P -4 -2'
_cell_length_a 4.633
_cell_length_b 4.633
_cell_length_c 11.206
_cell_angle_alpha 90.00
_cell_angle_beta 90.00
_cell_angle_gamma 90.00
loop_
_atom_site_label
_atom_site_fract_x
_atom_site_fract_y
_atom_site_fract_z
_atom_site_occupancy
Ac1 0.000 0.500 0.245 1
Mn1 0.500 0.500 0.000 1
Sn1 0.000 0.000 0.500 1
Sn2 0.000 0.500 0.872 1
Sn3 0.500 0.500 0.500 1
Pd1 0.000 0.000 0.000 1
Pd2 0.000 0.500 0.631 1

***

4.
# AcPm2Mn | Alexandria via LeMat-Bulk | PBE-GGA | relaxed
# - VASP energy (Ry/atom) = -0.4053
data_AcPm2Mn
_chemical_formula_sum 'Ac1 Pm2 Mn1'
_space_group_name_H-M_alt 'P 4/m m m'
_space_group_IT_number 123
_space_group_name_Hall '-P 4 2'
_cell_length_a 3.705
_cell_length_b 3.705
_cell_length_c 9.259
_cell_angle_alpha 90.00
_cell_angle_beta 90.00
_cell_angle_gamma 90.00
loop_
_atom_site_label
_atom_site_fract_x
_atom_site_fract_y
_atom_site_fract_z
_atom_site_occupancy
Ac1 0.000 0.000 0.000 1
Pm1 0.500 0.500 0.312 1
Mn1 0.000 0.000 0.500 1

***

5.
# Ac2PmMnS5 | Alexandria via LeMat-Bulk | PBE-GGA | relaxed
# - raw formation energy (kJ/mol of formula units) = -1565.9
data_Ac2PmMnS5
_chemical_formula_sum 'Ac8 Pm4 Mn4 S20'
_space_group_name_H-M_alt 'C m c 21'
_space_group_IT_number 36
_space_group_name_Hall 'C 2c -2'
_cell_length_a 4.109
_cell_length_b 17.090
_cell_length_c 12.493
_cell_angle_alpha 90.00
_cell_angle_beta 90.00
_cell_angle_gamma 90.00
loop_
_atom_site_label
_atom_site_fract_x
_atom_site_fract_y
_atom_site_fract_z
_atom_site_occupancy
Ac1 0.000 0.119 0.000 1
Ac2 0.000 0.127 0.648 1
Pm1 0.000 0.183 0.331 1
Mn1 0.000 0.451 0.738 1
S1 0.000 0.017 0.323 1
S2 0.000 0.301 0.989 1
S3 0.000 0.315 0.671 1
S4 0.000 0.346 0.324 1
S5 0.000 0.494 0.067 1

***

6.
# Ac2PmMnSe5 | Alexandria via LeMat-Bulk | PBE-GGA | relaxed
# - raw formation energy (kJ/mol of formula units) = -1437.4
data_Ac2PmMnSe5
_chemical_formula_sum 'Ac8 Pm4 Mn4 Se20'
_space_group_name_H-M_alt 'C m c 21'
_space_group_IT_number 36
_space_group_name_Hall 'C 2c -2'
_cell_length_a 4.262
_cell_length_b 17.898
_cell_length_c 12.960
_cell_angle_alpha 90.00
_cell_angle_beta 90.00
_cell_angle_gamma 90.00
loop_
_atom_site_label
_atom_site_fract_x
_atom_site_fract_y
_atom_site_fract_z
_atom_site_occupancy
Ac1 0.000 0.121 0.000 1
Ac2 0.000 0.122 0.647 1
Pm1 0.000 0.182 0.328 1
Mn1 0.000 0.447 0.735 1
Se1 0.000 0.017 0.325 1
Se2 0.000 0.303 0.988 1
Se3 0.000 0.311 0.667 1
Se4 0.000 0.346 0.323 1
Se5 0.000 0.495 0.061 1